(1)
Density functional theory data (PBEsol) for an optimized crystal structure of LaRe2Os.

E, eV/atom: -10.517
DOS(E_F), states/eV per atom: 0.847

Lattice parameters (Å, degrees): 10.063 2.894 5.070 90.00 103.49 90.00
Space group C2/m (No. 12)
One atom of each set of equivalent atoms:
1 La 0.000 0.000 0.000 (multiplicity 2)
2 Re 0.220 0.000 0.693 (multiplicity 4)
3 Os 0.000 0.500 0.500 (multiplicity 2)



(2)
Density functional theory data (PBEsol) for an optimized crystal structure of LaReOs2.

E, eV/atom: -10.286
Relative energy among the computed polymorphs, meV/atom: 53
DOS(E_F), states/eV per atom: 0.972

Lattice parameters (Å, degrees): 2.8227 2.8227 29.4552 90.00 90.00 120.00
Space group R-3m (No. 166, hexagonal axes)
One atom of each set of equivalent atoms:
1 La 0.0000 0.0000 0.0000 (multiplicity 3)
2 Re 0.0000 0.0000 0.5000 (multiplicity 3)
3 Os 0.0000 0.0000 0.2381 (multiplicity 6)



(3)
Density functional theory data (PBEsol) for an optimized crystal structure of LaReOs2.

E, eV/atom: -10.195
Relative energy among the computed polymorphs, meV/atom: 144
DOS(E_F), states/eV per atom: 0.995

Lattice parameters (Å, degrees): 2.839 4.846 10.227 90.00 90.00 90.00
Space group Imm2 (No. 44)
One atom of each set of equivalent atoms:
1 La 0.000 0.000 0.000 (multiplicity 2)
2 Re 0.000 0.500 0.216 (multiplicity 2)
3 Os 0.000 0.000 0.498 (multiplicity 2)
4 Os 0.000 0.500 0.780 (multiplicity 2)



(4)
Density functional theory data (PBEsol) for an optimized crystal structure of LaReOs.

E, eV/atom: -8.407
Relative energy among the computed polymorphs, meV/atom: 1713
DOS(E_F), states/eV per atom: 1.476

Lattice parameters (Å, degrees): 6.213 6.213 6.213 90.00 90.00 90.00
Space group F-43m (No. 216)
One atom of each set of equivalent atoms:
1 La 0.000 0.000 0.000 (multiplicity 4)
2 Re 0.250 0.250 0.750 (multiplicity 4)
3 Os 0.250 0.250 0.250 (multiplicity 4)



(5)
Density functional theory data (PBEsol) for an optimized crystal structure of La2ReOs.

E, eV/atom: -8.465
Relative energy among the computed polymorphs, meV/atom: 525
DOS(E_F), states/eV per atom: 1.469

Lattice parameters (Å, degrees): 4.977 4.977 3.513 90.00 90.00 90.00
Space group P4/mmm (No. 123)
One atom of each set of equivalent atoms:
1 La 0.000 0.500 0.000 (multiplicity 2)
2 Re 0.000 0.000 0.500 (multiplicity 1)
3 Os 0.500 0.500 0.500 (multiplicity 1)



(6)
Density functional theory data (PBEsol) for an optimized crystal structure of La2ReOs.

E, eV/atom: -8.990
Relative energy among the computed polymorphs, meV/atom: 0
DOS(E_F), states/eV per atom: 0.964

Lattice parameters (Å, degrees): 4.2113 4.2113 19.1132 90.00 90.00 120.00
Space group R3m (No. 160, hexagonal axes)
One atom of each set of equivalent atoms:
1 La 0.0000 0.0000 0.0000 (multiplicity 3)
2 La 0.0000 0.0000 0.2074 (multiplicity 3)
3 Re 0.0000 0.0000 0.7862 (multiplicity 3)
4 Os 0.0000 0.0000 0.4218 (multiplicity 3)



(7)
Density functional theory data (PBEsol) for an optimized crystal structure of La2ReOs.

E, eV/atom: -8.746
Relative energy among the computed polymorphs, meV/atom: 244
DOS(E_F), states/eV per atom: 1.360

Lattice parameters (Å, degrees): 3.000 4.004 7.987 90.00 90.83 90.00
Space group Pm (No. 6)
One atom of each set of equivalent atoms:
1 La 0.000 0.000 0.000 (multiplicity 1)
2 La 0.198 0.500 0.603 (multiplicity 1)
3 Re 0.779 0.000 0.349 (multiplicity 1)
4 Os 0.390 0.500 0.244 (multiplicity 1)



(8)
Density functional theory data (PBEsol) for an optimized crystal structure of LaReOs2.

E, eV/atom: -10.339
Relative energy among the computed polymorphs, meV/atom: 0
DOS(E_F), states/eV per atom: 1.225

Lattice parameters (Å, degrees): 2.823 2.823 8.647 90.00 90.00 90.00
Space group P4mm (No. 99)
One atom of each set of equivalent atoms:
1 La 0.000 0.000 0.000 (multiplicity 1)
2 Re 0.500 0.500 0.704 (multiplicity 1)
3 Os 0.000 0.000 0.492 (multiplicity 1)
4 Os 0.500 0.500 0.292 (multiplicity 1)



(9)
Density functional theory data (PBEsol) for an optimized crystal structure of La2ReOs.

E, eV/atom: -8.860
Relative energy among the computed polymorphs, meV/atom: 130
DOS(E_F), states/eV per atom: 1.013

Lattice parameters (Å, degrees): 3.065 3.065 9.557 90.00 90.00 90.00
Space group P4mm (No. 99)
One atom of each set of equivalent atoms:
1 La 0.000 0.000 0.000 (multiplicity 1)
2 La 0.500 0.500 0.373 (multiplicity 1)
3 Re 0.500 0.500 0.761 (multiplicity 1)
4 Os 0.000 0.000 0.613 (multiplicity 1)



(10)
Density functional theory data (PBEsol) for an optimized crystal structure of SrLa2ReOs.

E, eV/atom: -5.199
DOS(E_F), states/eV per atom: 1.376

Lattice parameters (Å, degrees): 5.346 5.346 4.624 90.00 90.00 90.00
Space group P4/mmm (No. 123)
One atom of each set of equivalent atoms:
1 Sr 0.000 0.000 0.000 (multiplicity 1)
2 La 0.000 0.500 0.000 (multiplicity 2)
3 Re 0.000 0.000 0.500 (multiplicity 1)
4 Os 0.500 0.500 0.500 (multiplicity 1)



(11)
Density functional theory data (PBEsol) for an optimized crystal structure of LaOsRh2.

E, eV/atom: -8.251
Relative energy among the computed polymorphs, meV/atom: 119
DOS(E_F), states/eV per atom: 1.127

Lattice parameters (Å, degrees): 4.077 4.077 8.116 90.00 90.00 90.00
Space group I-4m2 (No. 119)
One atom of each set of equivalent atoms:
1 La 0.000 0.000 0.000 (multiplicity 2)
2 Os 0.000 0.500 0.250 (multiplicity 2)
3 Rh 0.000 0.000 0.500 (multiplicity 2)
4 Rh 0.000 0.500 0.750 (multiplicity 2)



(12)
Density functional theory data (PBEsol) for an optimized crystal structure of LaOsRh3.

E, eV/atom: -6.375
DOS(E_F), states/eV per atom: 1.142

Lattice parameters (Å, degrees): 4.689 4.689 4.689 90.00 90.00 90.00
Space group Pm-3m (No. 221)
One atom of each set of equivalent atoms:
1 La 0.000 0.000 0.000 (multiplicity 1)
2 Os 0.500 0.500 0.500 (multiplicity 1)
3 Rh 0.000 0.000 0.500 (multiplicity 3)



(13)
Density functional theory data (PBEsol) for an optimized crystal structure of LaOsRh2.

E, eV/atom: -8.370
Relative energy among the computed polymorphs, meV/atom: 0
DOS(E_F), states/eV per atom: 0.975

Lattice parameters (Å, degrees): 2.849 2.849 8.260 90.00 90.00 90.00
Space group P4/mmm (No. 123)
One atom of each set of equivalent atoms:
1 La 0.000 0.000 0.000 (multiplicity 1)
2 Os 0.000 0.000 0.500 (multiplicity 1)
3 Rh 0.500 0.500 0.293 (multiplicity 2)



(14)
Density functional theory data (PBEsol) for an optimized crystal structure of LaZn2OsRh.

E, eV/atom: -4.967
DOS(E_F), states/eV per atom: 1.160

Lattice parameters (Å, degrees): 4.641 4.641 5.068 90.00 90.00 90.00
Space group P4/mmm (No. 123)
One atom of each set of equivalent atoms:
1 La 0.000 0.000 0.000 (multiplicity 1)
2 Zn 0.000 0.500 0.500 (multiplicity 2)
3 Os 0.500 0.500 0.000 (multiplicity 1)
4 Rh 0.000 0.000 0.500 (multiplicity 1)



(15)
Density functional theory data (PBEsol) for an optimized crystal structure of LaZr2OsRh.

E, eV/atom: -6.996
DOS(E_F), states/eV per atom: 1.230

Lattice parameters (Å, degrees): 4.940 4.940 4.637 90.00 90.00 90.00
Space group P4/mmm (No. 123)
One atom of each set of equivalent atoms:
1 La 0.000 0.000 0.000 (multiplicity 1)
2 Zr 0.000 0.500 0.000 (multiplicity 2)
3 Os 0.000 0.000 0.500 (multiplicity 1)
4 Rh 0.500 0.500 0.500 (multiplicity 1)



(16)
Density functional theory data (PBEsol) for an optimized crystal structure of La2OsRu.

E, eV/atom: -8.252
DOS(E_F), states/eV per atom: 0.991

Lattice parameters (Å, degrees): 4.431 4.495 10.116 90.00 90.00 90.00
Space group Amm2 (No. 38)
One atom of each set of equivalent atoms:
1 La 0.000 0.000 0.000 (multiplicity 2)
2 La 0.500 0.000 0.295 (multiplicity 2)
3 Os 0.000 0.000 0.696 (multiplicity 2)
4 Ru 0.500 0.000 0.604 (multiplicity 2)



(17)
Density functional theory data (PBEsol) for an optimized crystal structure of LaOsRu.

E, eV/atom: -7.850
Relative energy among the computed polymorphs, meV/atom: 740
DOS(E_F), states/eV per atom: 1.476

Lattice parameters (Å, degrees): 6.215 6.215 6.215 90.00 90.00 90.00
Space group F-43m (No. 216)
One atom of each set of equivalent atoms:
1 La 0.000 0.000 0.000 (multiplicity 4)
2 Os 0.250 0.250 0.750 (multiplicity 4)
3 Ru 0.250 0.250 0.250 (multiplicity 4)



(18)
Density functional theory data (PBEsol) for an optimized crystal structure of LaOsRu2.

E, eV/atom: -8.929
Relative energy among the computed polymorphs, meV/atom: 0
DOS(E_F), states/eV per atom: 1.557

Lattice parameters (Å, degrees): 4.766 4.766 2.940 90.00 90.00 90.00
Space group P4/mmm (No. 123)
One atom of each set of equivalent atoms:
1 La 0.000 0.000 0.000 (multiplicity 1)
2 Os 0.500 0.500 0.000 (multiplicity 1)
3 Ru 0.000 0.500 0.500 (multiplicity 2)



(19)
Density functional theory data (PBEsol) for an optimized crystal structure of LaOsRu2.

E, eV/atom: -8.572
Relative energy among the computed polymorphs, meV/atom: 357
DOS(E_F), states/eV per atom: 1.382

Lattice parameters (Å, degrees): 3.1850 3.1850 24.8928 90.00 90.00 120.00
Space group R-3m (No. 166, hexagonal axes)
One atom of each set of equivalent atoms:
1 La 0.0000 0.0000 0.0000 (multiplicity 3)
2 Os 0.0000 0.0000 0.5000 (multiplicity 3)
3 Ru 0.0000 0.0000 0.2351 (multiplicity 6)



(20)
Density functional theory data (PBEsol) for an optimized crystal structure of LaOsRu.

E, eV/atom: -8.590
Relative energy among the computed polymorphs, meV/atom: 0
DOS(E_F), states/eV per atom: 1.201

Lattice parameters (Å, degrees): 2.8543 2.8543 7.5306 90.00 90.00 120.00
Space group P3m1 (No. 156)
One atom of each set of equivalent atoms:
1 La 0.0000 0.0000 0.0000 (multiplicity 1)
2 Os 0.3333 0.6667 0.6287 (multiplicity 1)
3 Ru 0.6667 0.3333 0.3662 (multiplicity 1)



(21)
Density functional theory data (PBEsol) for an optimized crystal structure of LaSb12Os4.

E, eV/atom: -6.630
DOS(E_F), states/eV per atom: 0.787

Lattice parameters (Å, degrees): 9.303 9.303 9.303 90.00 90.00 90.00
Space group Im-3 (No. 204)
One atom of each set of equivalent atoms:
1 La 0.000 0.000 0.000 (multiplicity 2)
2 Sb 0.000 0.340 0.158 (multiplicity 24)
3 Os 0.250 0.250 0.250 (multiplicity 8)



(22)
Density functional theory data (PBEsol) for an optimized crystal structure of La3SbOs.

E, eV/atom: -6.934
DOS(E_F), states/eV per atom: 0.906

Lattice parameters (Å, degrees): 5.434 5.434 5.434 90.00 90.00 90.00
Space group Pm-3m (No. 221)
One atom of each set of equivalent atoms:
1 La 0.000 0.000 0.500 (multiplicity 3)
2 Sb 0.500 0.500 0.500 (multiplicity 1)
3 Os 0.000 0.000 0.000 (multiplicity 1)



(23)
Density functional theory data (PBEsol) for an optimized crystal structure of La2SbOs.

E, eV/atom: -7.244
DOS(E_F), states/eV per atom: 0.506

Lattice parameters (Å, degrees): 3.493 4.887 12.076 90.00 90.00 90.00
Space group Imm2 (No. 44)
One atom of each set of equivalent atoms:
1 La 0.000 0.000 0.000 (multiplicity 2)
2 La 0.000 0.500 0.208 (multiplicity 2)
3 Sb 0.000 0.000 0.393 (multiplicity 2)
4 Os 0.000 0.500 0.716 (multiplicity 2)



(24)
Density functional theory data (PBEsol) for an optimized crystal structure of LaSc2Os.

E, eV/atom: -7.935
Relative energy among the computed polymorphs, meV/atom: 0
DOS(E_F), states/eV per atom: 0.798

Lattice parameters (Å, degrees): 3.228 3.228 8.681 90.00 90.00 90.00
Space group P4/mmm (No. 123)
One atom of each set of equivalent atoms:
1 La 0.000 0.000 0.000 (multiplicity 1)
2 Sc 0.500 0.500 0.326 (multiplicity 2)
3 Os 0.000 0.000 0.500 (multiplicity 1)



(25)
Density functional theory data (PBEsol) for an optimized crystal structure of LaSc2Os2.

E, eV/atom: -8.421
DOS(E_F), states/eV per atom: 0.525

Lattice parameters (Å, degrees): 4.648 4.648 10.027 90.00 90.00 90.00
Space group I4/mmm (No. 139)
One atom of each set of equivalent atoms:
1 La 0.000 0.000 0.000 (multiplicity 2)
2 Sc 0.000 0.000 0.355 (multiplicity 4)
3 Os 0.000 0.500 0.250 (multiplicity 4)



(26)
Density functional theory data (PBEsol) for an optimized crystal structure of LaSc2Os.

E, eV/atom: -7.657
Relative energy among the computed polymorphs, meV/atom: 278
DOS(E_F), states/eV per atom: 1.376

Lattice parameters (Å, degrees): 6.845 6.845 6.845 90.00 90.00 90.00
Space group Fm-3m (No. 225)
One atom of each set of equivalent atoms:
1 La 0.000 0.000 0.000 (multiplicity 4)
2 Sc 0.250 0.250 0.250 (multiplicity 8)
3 Os 0.000 0.000 0.500 (multiplicity 4)



(27)
Density functional theory data (PBEsol) for an optimized crystal structure of LaSc2Os.

E, eV/atom: -7.772
Relative energy among the computed polymorphs, meV/atom: 163
DOS(E_F), states/eV per atom: 0.717

Lattice parameters (Å, degrees): 3.389 4.894 10.661 90.00 90.00 90.00
Space group Imm2 (No. 44)
One atom of each set of equivalent atoms:
1 La 0.000 0.000 0.000 (multiplicity 2)
2 Sc 0.000 0.000 0.403 (multiplicity 2)
3 Sc 0.000 0.500 0.209 (multiplicity 2)
4 Os 0.000 0.500 0.717 (multiplicity 2)



(28)
Density functional theory data (PBEsol) for an optimized crystal structure of La2ScOs.

E, eV/atom: -7.396
Relative energy among the computed polymorphs, meV/atom: 0
DOS(E_F), states/eV per atom: 1.013

Lattice parameters (Å, degrees): 3.514 5.217 11.206 90.00 90.00 90.00
Space group Imm2 (No. 44)
One atom of each set of equivalent atoms:
1 La 0.000 0.000 0.000 (multiplicity 2)
2 La 0.000 0.500 0.199 (multiplicity 2)
3 Sc 0.000 0.000 0.388 (multiplicity 2)
4 Os 0.000 0.500 0.714 (multiplicity 2)



(29)
Density functional theory data (PBEsol) for an optimized crystal structure of La2ScOs.

E, eV/atom: -7.170
Relative energy among the computed polymorphs, meV/atom: 226
DOS(E_F), states/eV per atom: 0.954

Lattice parameters (Å, degrees): 5.055 5.055 3.720 90.00 90.00 90.00
Space group P4/mmm (No. 123)
One atom of each set of equivalent atoms:
1 La 0.000 0.500 0.000 (multiplicity 2)
2 Sc 0.000 0.000 0.500 (multiplicity 1)
3 Os 0.500 0.500 0.500 (multiplicity 1)



(30)
Density functional theory data (PBEsol) for an optimized crystal structure of LaSc2Os.

E, eV/atom: -7.652
Relative energy among the computed polymorphs, meV/atom: 283
DOS(E_F), states/eV per atom: 1.212

Lattice parameters (Å, degrees): 6.924 6.924 6.924 90.00 90.00 90.00
Space group F-43m (No. 216)
One atom of each set of equivalent atoms:
1 La 0.000 0.000 0.000 (multiplicity 4)
2 Sc 0.000 0.000 0.500 (multiplicity 4)
3 Sc 0.250 0.250 0.250 (multiplicity 4)
4 Os 0.250 0.250 0.750 (multiplicity 4)